# 1
DFT (PBE-GGA) results for an optimized crystal structure of AgPd4Pb3.

abc: 10.400 5.855 5.289
angles: 90.00 90.00 90.00
Fractional positions:
1 Ag 0.000 0.125 0.000
2 Ag 0.500 0.875 0.500
3 Pd 0.000 0.335 0.489
4 Pd 0.000 0.605 0.999
5 Pd 0.239 0.350 0.096
6 Pd 0.261 0.650 0.596
7 Pd 0.500 0.395 0.499
8 Pd 0.500 0.665 0.989
9 Pd 0.739 0.650 0.596
10 Pd 0.761 0.350 0.096
11 Pb 0.000 0.812 0.516
12 Pb 0.247 0.823 0.090
13 Pb 0.253 0.177 0.590
14 Pb 0.500 0.188 0.016
15 Pb 0.747 0.177 0.590
16 Pb 0.753 0.823 0.090

Properties
- space-group type = Pmn2_1, No. 31
- energy of formation from the pure elements (kcal/mol of atoms) = -3.25



# 2
DFT (PBE-GGA) results for an optimized crystal structure of Pa2Fe2N5.

abc: 6.691 6.691 4.858
angles: 110.62 110.62 33.60
Fractional positions:
1 Pa 0.119 0.119 0.407
2 Pa 0.881 0.881 0.593
3 Fe 0.408 0.408 0.094
4 Fe 0.592 0.592 0.906
5 N 0.090 0.090 0.886
6 N 0.307 0.307 0.694
7 N 0.500 0.500 0.500
8 N 0.693 0.693 0.306
9 N 0.910 0.910 0.114

Properties
- space-group type = C2/m, No. 12
- raw formation energy (eV per atom) = -0.943



# 3
DFT (PBE-GGA) results for an optimized crystal structure of KBeZnF6.

abc: 5.032 5.032 5.783
angles: 90.00 90.00 120.00
Fractional positions:
1 K 0.000 0.000 0.000
2 Be 0.667 0.333 0.500
3 Zn 0.333 0.667 0.500
4 F 0.399 0.032 0.679
5 F 0.399 0.367 0.321
6 F 0.633 0.032 0.321
7 F 0.633 0.601 0.679
8 F 0.968 0.367 0.679
9 F 0.968 0.601 0.321

Properties
- space-group type = P312, No. 149
- raw formation energy (eV per atom) = -2.417



# 4
DFT (PBE-GGA) results for an optimized crystal structure of Zn4Pd5Pb.

abc: 3.141 3.141 15.958
angles: 90.00 90.00 90.00
Fractional positions:
1 Zn 0.000 0.000 0.092
2 Zn 0.000 0.000 0.279
3 Zn 0.000 0.000 0.721
4 Zn 0.000 0.000 0.908
5 Pd 0.500 0.500 0.000
6 Pd 0.500 0.500 0.184
7 Pd 0.500 0.500 0.368
8 Pd 0.500 0.500 0.632
9 Pd 0.500 0.500 0.816
10 Pb 0.000 0.000 0.500

Properties
- space-group type = P4/mmm, No. 123
- energy of formation from the pure elements (kcal/mol of atoms) = -10.61



| no. | calculated volume (Å³ per cell) |
| --- | --- |
| 1 | 322 |
| 2 | 112 |
| 3 | 127 |
| 4 | 157 |